1.
CaLaAl: relaxed, PBE.

The polymorph energy (0 for the lowest one) comes out at 114.6 meV per atom. The magnetization comes out at 0.0 μB/f.u. The calculation puts the density of states at the Fermi level at 0.991 states/eV/atom. Its formation energy is -0.17 eV/atom.

abc: 7.2473 3.7341 7.5653
angles: 90.00 74.24 104.89
Last column: nearest neighbours and their distance in Å.
Fractional coordinates of all 6 atoms:
Ca: 0.2196 0.1500 0.6172  4 Al 3.24-3.26
Ca: 0.6637 0.8723 0.2585  4 Al 3.24-3.25
Al: 0.9417 0.5112 0.9386  4 La 3.23, 4 Ca 3.24
Al: 0.9426 0.5116 0.4364  4 La 3.22-3.23, 4 Ca 3.25-3.26
La: 0.6699 0.8753 0.7572  4 Al 3.23
La: 0.2162 0.1484 0.1169  4 Al 3.22-3.23

=====

2.
ReAg2Ge: relaxed, PBE.

The magnetization comes out at 1.1 μB/f.u. The calculation puts the density of states at the Fermi level at 0.690 states/eV/atom. Its formation energy is 0.78 eV/atom.

abc: 3.7320 3.7320 10.6154
angles: 79.88 79.88 90.00
Last column: nearest neighbours and their distance in Å.
Fractional coordinates of all 8 atoms:
Re: 0.0000 0.0000 0.0000  4 Ge 2.64, 4 Ag 2.89
Re: 0.7500 0.2500 0.5000  4 Ge 2.64, 4 Ag 2.89
Ge: 0.5000 0.5000 0.0000  4 Re 2.64, 4 Ag 2.89
Ge: 0.2500 0.7500 0.5000  4 Re 2.64, 4 Ag 2.89
Ag: 0.6272 0.1250 0.2500  4 Ag 2.63-2.65, 2 Re 2.89, 2 Ge 2.89
Ag: 0.1228 0.6250 0.2500  4 Ag 2.63-2.65, 2 Re 2.89, 2 Ge 2.89
Ag: 0.3750 0.3728 0.7500  4 Ag 2.63-2.65, 2 Re 2.89, 2 Ge 2.89
Ag: 0.8750 0.8772 0.7500  4 Ag 2.63-2.65, 2 Re 2.89, 2 Ge 2.89